Below is an optimized crystal structure of PmNd2Er3, with properties calculated at the GGA-PBE level.

```
data_PmNd2Er3
_cell_length_a 23.367
_cell_length_b 3.505
_cell_length_c 10.308
_cell_angle_alpha 90.00
_cell_angle_beta 108.61
_cell_angle_gamma 90.00
_symmetry_space_group_name_H-M 'C 1 2/m 1'
_symmetry_Int_Tables_number 12
loop_
_symmetry_equiv_pos_as_xyz
'x,y,z'
'-x,-y,-z'
'-x,y,-z'
'x,-y,z'
'x+1/2,y+1/2,z'
'-x+1/2,-y+1/2,-z'
'-x+1/2,y+1/2,-z'
'x+1/2,-y+1/2,z'
loop_
_atom_site_label
_atom_site_fract_x
_atom_site_fract_y
_atom_site_fract_z
_atom_site_occupancy
Pm1 0.188 0.000 0.036 1
Nd1 0.067 0.500 0.137 1
Nd2 0.190 0.000 0.372 1
Er1 0.058 0.000 0.446 1
Er2 0.069 0.500 0.760 1
Er3 0.194 0.000 0.715 1
```

Computed properties:
Energy above the lowest structure with this stoichiometry: 23 meV/atom
Fermi-level density of states: 36.4 states/eV/cell


Below is an optimized crystal structure of PmNd8Er5, with properties calculated at the GGA-PBE level.

```
data_PmNd8Er5
_cell_length_a 9.653
_cell_length_b 9.653
_cell_length_c 10.379
_cell_angle_alpha 90.00
_cell_angle_beta 90.00
_cell_angle_gamma 90.00
_symmetry_space_group_name_H-M 'I -4'
_symmetry_Int_Tables_number 82
loop_
_symmetry_equiv_pos_as_xyz
'x,y,z'
'y,-x,-z'
'-x,-y,z'
'-y,x,-z'
'x+1/2,y+1/2,z+1/2'
'y+1/2,-x+1/2,-z+1/2'
'-x+1/2,-y+1/2,z+1/2'
'-y+1/2,x+1/2,-z+1/2'
loop_
_atom_site_label
_atom_site_fract_x
_atom_site_fract_y
_atom_site_fract_z
_atom_site_occupancy
Pm1 0.000 0.000 0.000 1
Nd1 0.069 0.827 0.349 1
Nd2 0.089 0.678 0.002 1
Er1 0.000 0.500 0.250 1
Er2 0.110 0.704 0.677 1
```

Computed properties:
Fermi-level density of states: 41.6 states/eV/cell


Below is an optimized crystal structure of PmNd6Er8, with properties calculated at the GGA-PBE level.

```
data_PmNd6Er8
_cell_length_a 9.0793
_cell_length_b 9.0793
_cell_length_c 20.8901
_cell_angle_alpha 90.00
_cell_angle_beta 90.00
_cell_angle_gamma 120.00
_symmetry_space_group_name_H-M 'R -3'
_symmetry_Int_Tables_number 148
_symmetry_space_group_name_Hall '-R 3'
loop_
_atom_site_label
_atom_site_fract_x
_atom_site_fract_y
_atom_site_fract_z
_atom_site_occupancy
Pm1 0.0000 0.0000 0.0000 1
Nd1 0.0619 0.2479 0.7107 1
Er1 0.0000 0.0000 0.4236 1
Er2 0.0800 0.5567 0.8078 1
```

Computed properties:
Fermi-level density of states: 64.1 states/eV/cell


no.,total magnetization (μB/f.u.),VASP energy (eV per atom)
1,0.00,-4.540
2,0.00,-4.452
3,0.00,-4.532